Record 1
Entry from Alexandria via LeMat-Bulk: a relaxed TlTcHg crystal (PBE).

## Properties
Crystal system: tetragonal
Space-group type: No. 107
ΔE to the lowest computed polymorph in eV per atom: 0.024
Energy of formation from the pure elements in eV/atom: 0.74

a b c (Å): 7.0652 7.0652 7.0652
angles (deg): 154.75 154.75 36.01
Closest atoms and distances in Å follow each position.
Atoms (fractional coordinates):
Tl: 0.0000 0.0000 0.0000  4 Tc 3.01, 4 Tl 3.09
Tc: 0.6537 0.6537 0.0000  4 Hg 2.93, 4 Tl 3.01, 4 Tc 3.09
Hg: 0.2996 0.2996 0.0000  4 Tc 2.93, 4 Hg 3.09

---

Record 2
Entry from Alexandria via LeMat-Bulk: a relaxed SrAlAgHg2 crystal (PBE).

## Properties
Crystal system: tetragonal
Space-group type: No. 123
Energy of formation from the pure elements in eV/atom: -0.15

a b c (Å): 5.2145 5.2145 5.0674
angles (deg): 90.00 90.00 90.00
Closest atoms and distances in Å follow each position.
Atoms (fractional coordinates):
Sr: 0.0000 0.0000 0.0000  8 Hg 3.64, 4 Ag 3.69
Al: 0.5000 0.5000 0.5000  2 Ag 2.53, 4 Hg 2.61
Ag: 0.5000 0.5000 0.0000  2 Al 2.53
Hg: 0.0000 0.5000 0.5000  2 Al 2.61
Hg: 0.5000 0.0000 0.5000  2 Al 2.61

---

Record 3
Entry from Alexandria via LeMat-Bulk: a relaxed TcTe2W crystal (PBE).

## Properties
E_form (uncorrected) in eV per atom: 0.201
Crystal system: tetragonal
Space-group type: No. 99
ΔE to the lowest computed polymorph in eV per atom: 0.032

a b c (Å): 3.1701 3.1701 8.7138
angles (deg): 90.00 90.00 90.00
Closest atoms and distances in Å follow each position.
Atoms (fractional coordinates):
Tc: 0.0000 0.0000 0.0000  4 Te 2.74, 4 W 2.87
Te: 0.0000 0.0000 0.5998  4 W 2.81
Te: 0.5000 0.5000 0.1806  4 Tc 2.74
W: 0.5000 0.5000 0.7937  4 Te 2.81, 4 Tc 2.87

---

Number 1: total energy -3.61 eV per atom, total magnetic moment 2.08 Bohr magnetons per cell, calculated volume 21.366 Å³/atom. Number 2: total energy -1.93 eV per atom, total magnetic moment 0.00 Bohr magnetons per cell, calculated volume 27.557 Å³/atom. Number 3: total energy -7.20 eV per atom, total magnetic moment 0.00 Bohr magnetons per cell, calculated volume 21.893 Å³/atom.